The following is a GGA+U calculation of a relaxed structure of Pr2CrMoO6, from Alexandria via LeMat-Bulk.

CIF file:
```
data_Pr2CrMoO6
_chemical_formula_sum 'Pr4 Cr2 Mo2 O12'
_cell_length_a 5.582
_cell_length_b 5.820
_cell_length_c 9.753
_cell_angle_alpha 90.00
_cell_angle_beta 124.73
_cell_angle_gamma 90.00
_symmetry_space_group_name_H-M 'P 1 21/c 1'
_symmetry_Int_Tables_number 14
loop_
_symmetry_equiv_pos_as_xyz
'x,y,z'
'-x,-y,-z'
'-x,y+1/2,-z+1/2'
'x,-y+1/2,z+1/2'
loop_
_atom_site_label
_atom_site_type_symbol
_atom_site_fract_x
_atom_site_fract_y
_atom_site_fract_z
Pr1 Pr 0.234 0.058 0.250
Cr1 Cr 0.000 0.000 0.500
Mo1 Mo 0.500 0.000 0.000
O1 O 0.135 0.209 0.944
O2 O 0.241 0.695 0.947
O3 O 0.346 0.036 0.742
```

Properties
Final energy: -160.2 eV/cell